# Cs2Ag2TeSe4, relaxed, DFT PBE-GGA
# - total energy (eV per atom) = -3.21
# - symmetry = No. 12
# - ρ (g cm⁻³) = 5.48
# - formation energy (no corrections) (meV/atom) = -484
# - crystal system = monoclinic
data_Cs2Ag2TeSe4
_chemical_formula_sum 'Cs2 Ag2 Te1 Se4'
_space_group_name_H-M_alt 'P 1'
_space_group_IT_number 1
_cell_length_a 8.405
_cell_length_b 8.405
_cell_length_c 8.411
_cell_angle_alpha 109.25
_cell_angle_beta 109.25
_cell_angle_gamma 30.14
loop_
_space_group_symop_operation_xyz
'x,y,z'
loop_
_atom_site_label
_atom_site_type_symbol
_atom_site_fract_x
_atom_site_fract_y
_atom_site_fract_z
Cs1 Cs 0.137 0.137 0.070
Cs2 Cs 0.863 0.863 0.930
Ag1 Ag 0.310 0.310 0.512
Ag2 Ag 0.690 0.690 0.488
Te1 Te 0.000 0.000 0.500
Se1 Se 0.186 0.186 0.678
Se2 Se 0.485 0.485 0.715
Se3 Se 0.515 0.515 0.285
Se4 Se 0.814 0.814 0.322